DFT (PBE) results for a relaxed structure of B3P.

Results
Energy above the lowest structure with this stoichiometry ... 0.1225 eV/atom
Energy relative to the elements ... 255.2 meV per atom
N(E_F) ... 0.245 states/eV per atom
Space-group type ... No. 1
E_tot ... -6.1054 eV per atom

a = 3.1072 Å, b = 3.3361 Å, c = 4.5287 Å
α = 80.44°, β = 69.61°, γ = 61.70°
Positions (direct):
P 0.1542 0.4493 0.8471
B 0.1213 0.1108 0.2470
B 0.7864 0.7867 0.2467
B 0.7823 0.4480 0.5959

DFT (PBE) results for a relaxed structure of B2P.

Results
Energy above the lowest structure with this stoichiometry ... 0.0772 eV/atom
Energy relative to the elements ... 69.0 meV per atom
N(E_F) ... 0.020 states/eV per atom
Space-group type ... No. 2
E_tot ... -6.1859 eV per atom

a = 3.1427 Å, b = 4.2206 Å, c = 4.8342 Å
α = 100.14°, β = 97.84°, γ = 100.41°
Positions (direct):
P 0.2256 0.6265 0.3067
P 0.7744 0.3735 0.6933
B 0.2485 0.9451 0.0518
B 0.7515 0.0549 0.9482
B 0.3592 0.6705 0.7365
B 0.6408 0.3295 0.2635

DFT (PBE) results for a relaxed structure of B3P.

Results
Energy above the lowest structure with this stoichiometry ... 0.2363 eV/atom
Energy relative to the elements ... 368.9 meV per atom
N(E_F) ... 0.018 states/eV per atom
Space-group type ... No. 5
E_tot ... -5.9916 eV per atom

a = 4.3621 Å, b = 4.4278 Å, c = 4.5956 Å
α = 90.00°, β = 117.09°, γ = 90.00°
Positions (direct):
P 0.0000 0.9393 0.0000
P 0.0000 0.4393 0.5000
B 0.0000 0.4907 0.0000
B 0.0000 0.9907 0.5000
B 0.2852 0.7387 0.4329
B 0.7148 0.7387 0.5671
B 0.2852 0.2387 0.9329
B 0.7148 0.2387 0.0671

DFT (PBE) results for a relaxed structure of B2P.

Results
Energy above the lowest structure with this stoichiometry ... 0.0895 eV/atom
Energy relative to the elements ... 81.3 meV per atom
N(E_F) ... 0.177 states/eV per atom
Space-group type ... No. 1
E_tot ... -6.1737 eV per atom

a = 3.2125 Å, b = 4.4561 Å, c = 4.6693 Å
α = 71.74°, β = 83.93°, γ = 85.15°
Positions (direct):
P 0.4384 0.0783 0.2585
P 0.7591 0.3930 0.6240
B 0.7749 0.7060 0.2181
B 0.2868 0.1180 0.6587
B 0.2675 0.8230 0.0083
B 0.5962 0.4848 0.9982

DFT (PBE) results for a relaxed structure of B2P.

Results
Energy above the lowest structure with this stoichiometry ... 0.3510 eV/atom
Energy relative to the elements ... 342.8 meV per atom
N(E_F) ... 0.075 states/eV per atom
Space-group type ... No. 8
E_tot ... -5.9122 eV per atom

a = 3.3570 Å, b = 2.9809 Å, c = 6.8043 Å
α = 90.00°, β = 96.91°, γ = 90.00°
Positions (direct):
P 0.9846 0.0000 0.6298
P 0.9846 0.5000 0.1298
B 0.2890 0.0000 0.8883
B 0.2890 0.5000 0.3883
B 0.4479 0.0000 0.4785
B 0.4479 0.5000 0.9785

DFT (PBE) results for a relaxed structure of B2P.

Results
Energy above the lowest structure with this stoichiometry ... 0.4060 eV/atom
Energy relative to the elements ... 397.8 meV per atom
N(E_F) ... 0.183 states/eV per atom
Space-group type ... No. 160
E_tot ... -5.8571 eV per atom

a = 3.1510 Å, b = 3.1510 Å, c = 12.6469 Å
α = 90.00°, β = 90.00°, γ = 120.00°
Positions (direct):
P 0.0000 0.0000 0.4452
P 0.3333 0.6667 0.1118
P 0.6667 0.3333 0.7785
B 0.0000 0.0000 0.5932
B 0.3333 0.6667 0.2599
B 0.6667 0.3333 0.9266
B 0.0000 0.0000 0.7226
B 0.3333 0.6667 0.3892
B 0.6667 0.3333 0.0559

DFT (PBE) results for a relaxed structure of B2P.

Results
Energy above the lowest structure with this stoichiometry ... 0.3785 eV/atom
Energy relative to the elements ... 370.3 meV per atom
N(E_F) ... 0.199 states/eV per atom
Space-group type ... No. 6
E_tot ... -5.8846 eV per atom

a = 3.1908 Å, b = 2.9563 Å, c = 3.6710 Å
α = 90.00°, β = 115.20°, γ = 90.00°
Positions (direct):
P 0.5603 0.0000 0.1196
B 0.7488 0.5000 0.4936
B 0.8915 0.0000 0.7737

DFT (PBE) results for a relaxed structure of B2P.

Results
Energy above the lowest structure with this stoichiometry ... 0.4211 eV/atom
Energy relative to the elements ... 412.9 meV per atom
N(E_F) ... 0.225 states/eV per atom
Space-group type ... No. 65
E_tot ... -5.8420 eV per atom

a = 6.6476 Å, b = 3.0158 Å, c = 3.1658 Å
α = 90.00°, β = 90.00°, γ = 90.00°
Positions (direct):
P 0.5000 0.0000 0.0000
P 0.0000 0.5000 0.0000
B 0.6943 0.0000 0.5000
B 0.3057 0.0000 0.5000
B 0.1943 0.5000 0.5000
B 0.8057 0.5000 0.5000

DFT (PBE) results for a relaxed structure of B2P.

Results
Energy above the lowest structure with this stoichiometry ... 0.1159 eV/atom
Energy relative to the elements ... 107.7 meV per atom
N(E_F) ... 0.173 states/eV per atom
Space-group type ... No. 8
E_tot ... -6.1472 eV per atom

a = 4.9724 Å, b = 2.9577 Å, c = 8.7397 Å
α = 90.00°, β = 106.26°, γ = 90.00°
Positions (direct):
P 0.2820 0.0000 0.4431
P 0.2820 0.5000 0.9431
P 0.6400 0.0000 0.7985
P 0.6400 0.5000 0.2985
B 0.0738 0.0000 0.2163
B 0.0738 0.5000 0.7163
B 0.6652 0.0000 0.4459
B 0.6652 0.5000 0.9459
B 0.8724 0.0000 0.6397
B 0.8724 0.5000 0.1397
B 0.2325 0.0000 0.6551
B 0.2325 0.5000 0.1551

DFT (PBE) results for a relaxed structure of B2P.

Results
Energy above the lowest structure with this stoichiometry ... 0.3450 eV/atom
Energy relative to the elements ... 336.8 meV per atom
N(E_F) ... 0.084 states/eV per atom
Space-group type ... No. 1
E_tot ... -5.9181 eV per atom

a = 3.0635 Å, b = 3.3094 Å, c = 3.5737 Å
α = 94.91°, β = 116.14°, γ = 89.78°
Positions (direct):
P 0.1975 0.2614 0.9727
B 0.5888 0.9855 0.7590
B 0.4852 0.4946 0.5468

DFT (PBE) results for a relaxed structure of BP2.

Results
Energy above the lowest structure with this stoichiometry ... 0.1830 eV/atom
Energy relative to the elements ... 298.7 meV per atom
N(E_F) ... 0.229 states/eV per atom
Space-group type ... No. 1
E_tot ... -5.5337 eV per atom

a = 3.1357 Å, b = 3.5003 Å, c = 5.7645 Å
α = 75.19°, β = 88.71°, γ = 63.35°
Positions (direct):
P 0.8031 0.4798 0.0425
P 0.7056 0.6466 0.3848
B 0.4911 0.1016 0.0793

DFT (PBE) results for a relaxed structure of B2P.

Results
Energy above the lowest structure with this stoichiometry ... 0.0021 eV/atom
Energy relative to the elements ... -6.1 meV per atom
N(E_F) ... 0.080 states/eV per atom
Space-group type ... No. 5
E_tot ... -6.2610 eV per atom

a = 6.0963 Å, b = 4.8094 Å, c = 4.1130 Å
α = 90.00°, β = 99.15°, γ = 90.00°
Positions (direct):
P 0.6921 0.0107 0.3036
P 0.3079 0.0107 0.6964
P 0.6921 0.5107 0.8036
P 0.3079 0.5107 0.1964
B 0.1137 0.7892 0.3680
B 0.8863 0.7892 0.6320
B 0.1137 0.2892 0.8680
B 0.8863 0.2892 0.1320
B 0.0000 0.9623 0.0000
B 0.0000 0.4623 0.5000
B 0.5000 0.2679 0.5000
B 0.5000 0.7679 0.0000

DFT (PBE) results for a relaxed structure of BP2.

Results
Energy above the lowest structure with this stoichiometry ... 0.1931 eV/atom
Energy relative to the elements ... 308.7 meV per atom
N(E_F) ... 0.198 states/eV per atom
Space-group type ... No. 8
E_tot ... -5.5237 eV per atom

a = 3.2667 Å, b = 3.2154 Å, c = 9.1152 Å
α = 90.00°, β = 110.87°, γ = 90.00°
Positions (direct):
P 0.8419 0.0000 0.5747
P 0.8419 0.5000 0.0747
P 0.5098 0.0000 0.9046
P 0.5098 0.5000 0.4046
B 0.8895 0.0000 0.7860
B 0.8895 0.5000 0.2860

DFT (PBE) results for a relaxed structure of B3P.

Results
Energy above the lowest structure with this stoichiometry ... 0.2217 eV/atom
Energy relative to the elements ... 354.4 meV per atom
N(E_F) ... 0.091 states/eV per atom
Space-group type ... No. 8
E_tot ... -6.0061 eV per atom

a = 5.8607 Å, b = 2.4008 Å, c = 5.8852 Å
α = 90.00°, β = 115.91°, γ = 90.00°
Positions (direct):
P 0.8652 0.0000 0.3180
P 0.8652 0.5000 0.8180
B 0.4938 0.0000 0.1504
B 0.4938 0.5000 0.6504
B 0.3804 0.0000 0.8223
B 0.3804 0.5000 0.3223
B 0.0553 0.0000 0.6847
B 0.0553 0.5000 0.1847

DFT (PBE) results for a relaxed structure of B3P.

Results
Energy above the lowest structure with this stoichiometry ... 0.0000 eV/atom
Energy relative to the elements ... 132.7 meV per atom
N(E_F) ... 0.127 states/eV per atom
Space-group type ... No. 5
E_tot ... -6.2279 eV per atom

a = 3.8940 Å, b = 4.9031 Å, c = 3.9280 Å
α = 90.00°, β = 104.85°, γ = 90.00°
Positions (direct):
P 0.0000 0.9509 0.0000
P 0.0000 0.4509 0.5000
B 0.3117 0.6679 0.2901
B 0.6883 0.6679 0.7099
B 0.3117 0.1679 0.7901
B 0.6883 0.1679 0.2099
B 0.5000 0.9845 0.5000
B 0.5000 0.4845 0.0000

DFT (PBE) results for a relaxed structure of B2P.

Results
Energy above the lowest structure with this stoichiometry ... 0.0324 eV/atom
Energy relative to the elements ... 24.2 meV per atom
N(E_F) ... 0.062 states/eV per atom
Space-group type ... No. 38
E_tot ... -6.2307 eV per atom

a = 6.9142 Å, b = 3.1519 Å, c = 5.4738 Å
α = 90.00°, β = 90.00°, γ = 90.00°
Positions (direct):
P 0.3354 0.0000 0.7954
P 0.6646 0.0000 0.7954
P 0.3354 0.5000 0.2954
P 0.6646 0.5000 0.2954
B 0.2389 0.0000 0.1290
B 0.7611 0.0000 0.1290
B 0.2389 0.5000 0.6290
B 0.7611 0.5000 0.6290
B 0.0000 0.0000 0.2953
B 0.0000 0.5000 0.7953
B 0.0000 0.0000 0.9653
B 0.0000 0.5000 0.4653

DFT (PBE) results for a relaxed structure of B2P.

Results
Energy above the lowest structure with this stoichiometry ... 0.0826 eV/atom
Energy relative to the elements ... 74.4 meV per atom
N(E_F) ... 0.001 states/eV per atom
Space-group type ... No. 44
E_tot ... -6.1805 eV per atom

a = 7.7501 Å, b = 3.1640 Å, c = 4.8374 Å
α = 90.00°, β = 90.00°, γ = 90.00°
Positions (direct):
P 0.8251 0.0000 0.8184
P 0.1749 0.0000 0.8184
P 0.3251 0.5000 0.3184
P 0.6749 0.5000 0.3184
B 0.3720 0.0000 0.5470
B 0.6280 0.0000 0.5470
B 0.8720 0.5000 0.0470
B 0.1280 0.5000 0.0470
B 0.0000 0.5000 0.3716
B 0.5000 0.0000 0.8716
B 0.0000 0.0000 0.5287
B 0.5000 0.5000 0.0287

DFT (PBE) results for a relaxed structure of B3P.

Results
Energy above the lowest structure with this stoichiometry ... 0.2654 eV/atom
Energy relative to the elements ... 398.1 meV per atom
N(E_F) ... 0.230 states/eV per atom
Space-group type ... No. 44
E_tot ... -5.9625 eV per atom

a = 3.2783 Å, b = 3.0177 Å, c = 8.0619 Å
α = 90.00°, β = 90.00°, γ = 90.00°
Positions (direct):
P 0.0000 0.5000 0.6103
P 0.5000 0.0000 0.1103
B 0.0000 0.0000 0.7605
B 0.5000 0.5000 0.2605
B 0.0000 0.5000 0.8622
B 0.5000 0.0000 0.3622
B 0.0000 0.0000 0.9716
B 0.5000 0.5000 0.4716

DFT (PBE) results for a relaxed structure of B2P.

Results
Energy above the lowest structure with this stoichiometry ... 0.3425 eV/atom
Energy relative to the elements ... 334.3 meV per atom
N(E_F) ... 0.193 states/eV per atom
Space-group type ... No. 5
E_tot ... -5.9206 eV per atom

a = 3.1713 Å, b = 3.1711 Å, c = 4.3581 Å
α = 69.91°, β = 69.93°, γ = 88.98°
Positions (direct):
P 0.1397 0.1888 0.7124
B 0.5097 0.0414 0.9970
B 0.2871 0.8189 0.4278

DFT (PBE) results for a relaxed structure of Pa2BP6.

Results
Energy relative to the elements ... -368.3 meV per atom
N(E_F) ... 0.483 states/eV per atom
Space-group type ... No. 14
E_tot ... -6.8270 eV per atom

a = 5.4848 Å, b = 7.8025 Å, c = 7.7488 Å
α = 90.00°, β = 85.01°, γ = 90.00°
Positions (direct):
Pa 0.8872 0.4254 0.7738
Pa 0.6128 0.9254 0.7262
Pa 0.3872 0.0746 0.2738
Pa 0.1128 0.5746 0.2262
B 0.5000 0.5000 0.0000
B 0.0000 0.0000 0.5000
P 0.8415 0.8885 0.3380
P 0.7367 0.6384 0.5001
P 0.8725 0.7395 0.9628
P 0.6275 0.2395 0.5372
P 0.7633 0.1384 0.9999
P 0.6585 0.3885 0.1620
P 0.1585 0.1115 0.6620
P 0.2633 0.3616 0.4999
P 0.1275 0.2605 0.0372
P 0.3725 0.7605 0.4628
P 0.2367 0.8616 0.0001
P 0.3415 0.6115 0.8380